Crystalline Ca2Ga5Cu4 at its relaxed geometry. Source: Alexandria, functional PBE.

Calculated values
ΔE_f   -0.254 eV per atom
Space-group type   Immm
M_tot   0.000 μB per atom
E   -3.484 eV/atom

```
data_Ca2Ga5Cu4
_cell_length_a 6.526
_cell_length_b 6.526
_cell_length_c 6.526
_cell_angle_alpha 130.87
_cell_angle_beta 100.59
_cell_angle_gamma 99.31
_space_group_name_H-M_alt 'P 1'
_space_group_IT_number 1
loop_
_space_group_symop_operation_xyz
'x,y,z'
loop_
_atom_site_label
_atom_site_type_symbol
_atom_site_fract_x
_atom_site_fract_y
_atom_site_fract_z
_atom_site_occupancy
Ca1 Ca 0.216 0.216 0.000 1
Ca2 Ca 0.784 0.784 0.000 1
Ga1 Ga 0.000 0.500 0.500 1
Ga2 Ga 0.310 0.248 0.559 1
Ga3 Ga 0.310 0.752 0.062 1
Ga4 Ga 0.690 0.248 0.938 1
Ga5 Ga 0.690 0.752 0.441 1
Cu1 Cu 0.083 0.744 0.339 1
Cu2 Cu 0.405 0.744 0.661 1
Cu3 Cu 0.595 0.256 0.339 1
Cu4 Cu 0.917 0.256 0.661 1
```